Computed, not measured: a geometry-optimized KVAgO3 structure at the PBE with a Hubbard U level of DFT.

Structure (CIF):
```
data_KVAgO3
_cell_length_a 6.144
_cell_length_b 6.144
_cell_length_c 7.504
_cell_angle_alpha 64.59
_cell_angle_beta 64.59
_cell_angle_gamma 63.88
_space_group_name_H-M_alt 'P 1'
_space_group_IT_number 1
_space_group_name_Hall 'P 1'
loop_
_atom_site_label
_atom_site_type_symbol
_atom_site_fract_x
_atom_site_fract_y
_atom_site_fract_z
O1 O 0.755 0.223 0.792
O2 O 0.245 0.777 0.208
O3 O 0.777 0.245 0.208
O4 O 0.253 0.253 0.729
O5 O 0.747 0.747 0.271
O6 O 0.223 0.755 0.792
V1 V 0.928 0.928 0.207
V2 V 0.072 0.072 0.793
Ag1 Ag 0.256 0.744 0.500
Ag2 Ag 0.744 0.256 0.500
K1 K 0.692 0.692 0.919
K2 K 0.308 0.308 0.081
```

**Crystal system**: monoclinic
**VASP energy**: -68.3 eV per cell